Density functional theory data (meta-GGA SCAN) for a crystal of KSb2Pt relaxed with PBEsol.

a = 4.221 Å, b = 4.223 Å, c = 7.740 Å
α = 74.23°, β = 74.18°, γ = 60.01°
Atoms (fractional coordinates):
K: 0.502 0.501 0.494
Sb: 0.948 0.948 0.157
Pt: 0.332 0.333 0.003
Sb: 0.718 0.718 0.846

Computed properties:
- Energy: -38.875 eV per atom
- Relative energy among the computed polymorphs: 0 meV/atom

---

Density functional theory data (meta-GGA SCAN) for a crystal of KSb2Pt relaxed with PBEsol.

a = 4.227 Å, b = 4.227 Å, c = 7.685 Å
α = 74.04°, β = 74.04°, γ = 60.00°
Atoms (fractional coordinates):
Sb: 0.719 0.719 0.844
Sb: 0.281 0.281 0.156
Pt: 0.000 0.000 0.000
K: 0.500 0.500 0.500

Computed properties:
- Energy: -38.869 eV per atom
- Relative energy among the computed polymorphs: 5 meV/atom

---

Density functional theory data (meta-GGA SCAN) for a crystal of K2SiPt relaxed with PBEsol.

a = 3.999 Å, b = 3.999 Å, c = 9.651 Å
α = 78.54°, β = 78.54°, γ = 63.68°
Atoms (fractional coordinates):
K: 0.039 0.039 0.890
Pt: 0.452 0.452 0.625
K: 0.214 0.214 0.360
Si: 0.795 0.795 0.625

Computed properties:
- Energy: -24.610 eV per atom

---

Density functional theory data (meta-GGA SCAN) for a crystal of KSiPt2 relaxed with PBEsol.

a = 2.925 Å, b = 2.925 Å, c = 8.280 Å
α = 90.00°, β = 90.00°, γ = 90.00°
Atoms (fractional coordinates):
K: 0.500 0.500 0.000
Pt: 0.000 0.000 0.327
Pt: 0.000 0.000 0.673
Si: 0.500 0.500 0.500

Computed properties:
- Energy: -40.110 eV per atom

---

Here are the calculated ΔE_f (raw) numbers, same order: -2.46 -2.43 -1.57 -1.71 (eV/f.u.).
Here are the calculated total magnetic moment numbers, same order: 0.00 0.00 0.02 0.00 (μB/atom).
Here are the calculated V numbers, same order: 113.4 112.7 134.5 70.8 (Å³ per cell).